A geometry-optimized Pu3CuP2 structure, computed with PBE.

Summary:
M_tot = 21.495 Bohr magnetons per cell
VASP energy = -10.302 eV/atom

abc: 3.887 10.086 11.573
angles: 90.00 90.00 90.00
Fractional positions:
Pu 0.250 0.399 0.050
Pu 0.250 0.755 0.699
Pu 0.250 0.745 0.199
Pu 0.750 0.255 0.801
Pu 0.750 0.590 0.634
Pu 0.750 0.601 0.950
Pu 0.250 0.101 0.550
Pu 0.250 0.090 0.866
Pu 0.250 0.410 0.366
Pu 0.750 0.910 0.134
Pu 0.750 0.899 0.450
Pu 0.750 0.245 0.301
P 0.750 0.519 0.196
P 0.750 0.311 0.536
P 0.250 0.811 0.964
P 0.250 0.689 0.464
P 0.750 0.981 0.696
P 0.250 0.019 0.304
P 0.750 0.189 0.036
P 0.250 0.481 0.804
Cu 0.750 0.871 0.869
Cu 0.250 0.129 0.131
Cu 0.750 0.629 0.369
Cu 0.250 0.371 0.631